1.
Material: Cu12As5Au3
Method: DFT, PBE
State: optimized geometry

a b c (Å): 12.3782 12.3782 12.3782
angles (deg): 109.47 109.47 109.47
Positions (direct):
1 Cu 0.0588 0.2217 0.1399
2 Cu 0.0588 0.3370 0.9189
3 Cu 0.0811 0.6399 0.4182
4 Cu 0.0811 0.9412 0.6630
5 Cu 0.0818 0.7217 0.6630
6 Cu 0.0818 0.8601 0.4189
7 Cu 0.1399 0.0588 0.2217
8 Cu 0.1399 0.5811 0.9182
9 Cu 0.1630 0.2217 0.5818
10 Cu 0.1630 0.4412 0.5811
11 Cu 0.2217 0.1399 0.0588
12 Cu 0.2217 0.5818 0.1630
13 Cu 0.2783 0.3370 0.9182
14 Cu 0.2783 0.4412 0.3601
15 Cu 0.3370 0.9182 0.2783
16 Cu 0.3370 0.9189 0.0588
17 Cu 0.3601 0.2783 0.4412
18 Cu 0.3601 0.5818 0.9189
19 Cu 0.4182 0.0811 0.6399
20 Cu 0.4182 0.8370 0.7783
21 Cu 0.4189 0.0818 0.8601
22 Cu 0.4189 0.8370 0.5588
23 Cu 0.4412 0.3601 0.2783
24 Cu 0.4412 0.5811 0.1630
25 Cu 0.5588 0.4189 0.8370
26 Cu 0.5588 0.6399 0.7217
27 Cu 0.5811 0.1630 0.4412
28 Cu 0.5811 0.9182 0.1399
29 Cu 0.5818 0.1630 0.2217
30 Cu 0.5818 0.9189 0.3601
31 Cu 0.6399 0.4182 0.0811
32 Cu 0.6399 0.7217 0.5588
33 Cu 0.6630 0.0811 0.9412
34 Cu 0.6630 0.0818 0.7217
35 Cu 0.7217 0.5588 0.6399
36 Cu 0.7217 0.6630 0.0818
37 Cu 0.7783 0.4182 0.8370
38 Cu 0.7783 0.8601 0.9412
39 Cu 0.8370 0.5588 0.4189
40 Cu 0.8370 0.7783 0.4182
41 Cu 0.8601 0.4189 0.0818
42 Cu 0.8601 0.9412 0.7783
43 Cu 0.9182 0.1399 0.5811
44 Cu 0.9182 0.2783 0.3370
45 Cu 0.9189 0.0588 0.3370
46 Cu 0.9189 0.3601 0.5818
47 Cu 0.9412 0.6630 0.0811
48 Cu 0.9412 0.7783 0.8601
49 As 0.0000 0.0000 0.0000
50 As 0.0000 0.0000 0.5000
51 As 0.0000 0.5000 0.0000
52 As 0.0000 0.5000 0.5000
53 As 0.1250 0.7500 0.8750
54 As 0.1250 0.8750 0.2500
55 As 0.2500 0.1250 0.8750
56 As 0.2500 0.6250 0.3750
57 As 0.3750 0.2500 0.6250
58 As 0.3750 0.6250 0.7500
59 As 0.5000 0.0000 0.0000
60 As 0.5000 0.0000 0.5000
61 As 0.5000 0.5000 0.0000
62 As 0.5000 0.5000 0.5000
63 As 0.6250 0.3750 0.2500
64 As 0.6250 0.7500 0.3750
65 As 0.7500 0.3750 0.6250
66 As 0.7500 0.8750 0.1250
67 As 0.8750 0.1250 0.7500
68 As 0.8750 0.2500 0.1250
69 Au 0.1250 0.2500 0.3750
70 Au 0.1250 0.3750 0.7500
71 Au 0.2500 0.3750 0.1250
72 Au 0.2500 0.8750 0.6250
73 Au 0.3750 0.1250 0.2500
74 Au 0.3750 0.7500 0.1250
75 Au 0.6250 0.2500 0.8750
76 Au 0.6250 0.8750 0.7500
77 Au 0.7500 0.1250 0.3750
78 Au 0.7500 0.6250 0.8750
79 Au 0.8750 0.6250 0.2500
80 Au 0.8750 0.7500 0.6250

Properties
The value obtained for the total energy is -308.3 eV/cell. As for the space group: Ia-3d (230). Its formation energy from the elements is 0.258 eV/atom. For the total magnetization, the calculation gives 0.000 μB/f.u.

=====

2.
Material: CrTc2Ge
Method: DFT, PBE
State: optimized geometry

a b c (Å): 3.0048 3.0048 6.1037
angles (deg): 90.00 90.00 90.00
Positions (direct):
1 Cr 0.0000 0.0000 0.0000
2 Tc 0.5000 0.5000 0.2479
3 Tc 0.5000 0.5000 0.7521
4 Ge 0.0000 0.0000 0.5000

Properties
The value obtained for the total energy is -35.1 eV/cell. As for the space group: P4/mmm (123). Its formation energy from the elements is -0.026 eV/atom. For the total magnetization, the calculation gives 0.761 μB/f.u.

=====

3.
Material: PaCo4Sn
Method: DFT, PBE
State: optimized geometry

a b c (Å): 4.9656 4.9656 4.9656
angles (deg): 60.00 60.00 60.00
Positions (direct):
1 Pa 0.0000 0.0000 0.0000
2 Co 0.1300 0.6233 0.6233
3 Co 0.6233 0.1300 0.6233
4 Co 0.6233 0.6233 0.1300
5 Co 0.6233 0.6233 0.6233
6 Sn 0.2500 0.2500 0.2500

Properties
The value obtained for the total energy is -43.0 eV/cell. As for the space group: F-43m (216). Its formation energy from the elements is -0.182 eV/atom. For the total magnetization, the calculation gives 0.001 μB/f.u.